Entry 1:
The following is a PBE-GGA calculation of Pu2Al3GeAu4 after structural relaxation, from the Alexandria database.

- magnetic moment (μB/f.u.) = 11.36
- density of states at the Fermi level (states/eV per cell) = 29.09
- calculated formation energy (kJ/mol of formula units) = -426.0

POSCAR file:
```
Pu2Al3GeAu4
1.0
-4.112 0.991 -1.240
0.297 -2.903 -3.303
-3.730 -7.572 6.319
Pu Al Ge Au
2 3 1 4
Direct
0.500 0.000 0.250
0.000 0.500 0.750
0.000 0.000 0.500
0.500 0.000 0.871
0.000 0.500 0.129
0.500 0.500 0.500
0.500 0.500 0.000
0.000 0.000 0.000
0.500 0.000 0.635
0.000 0.500 0.365
```



Entry 2:
The following is a PBE-GGA calculation of RbAl2Ge2Au6 after structural relaxation, from the Alexandria database.

- magnetic moment (μB/f.u.) = 0.00
- density of states at the Fermi level (states/eV per cell) = 3.12
- calculated formation energy (kJ/mol of formula units) = -94.4

POSCAR file:
```
RbAl2Ge2Au6
1.0
-2.554 6.741 3.294
-7.060 5.128 -1.710
1.664 -6.096 6.072
Rb Al Ge Au
1 2 2 6
Direct
0.500 0.000 0.500
0.903 0.293 0.674
0.097 0.707 0.326
0.123 0.740 0.843
0.877 0.260 0.157
0.542 0.515 0.866
0.960 0.434 0.079
0.022 0.021 0.292
0.040 0.566 0.921
0.978 0.979 0.708
0.458 0.485 0.134
```



Entry 3:
The following is a PBE-GGA calculation of Rb2AlGeAu6 after structural relaxation, from the Alexandria database.

- magnetic moment (μB/f.u.) = 0.00
- density of states at the Fermi level (states/eV per cell) = 2.56
- calculated formation energy (kJ/mol of formula units) = -213.9

POSCAR file:
```
Rb2AlGeAu6
1.0
7.218 -0.084 0.004
-0.083 7.219 0.005
3.575 3.575 5.069
Rb Al Ge Au
2 1 1 6
Direct
0.704 0.296 0.500
0.296 0.704 0.500
0.000 0.000 0.000
0.500 0.500 0.000
0.196 0.196 0.504
0.804 0.803 0.897
0.247 0.752 0.000
0.753 0.248 0.000
0.196 0.197 0.103
0.804 0.804 0.496
```



Entry 4:
The following is a PBE-GGA calculation of AlReGe2Au after structural relaxation, from the Alexandria database.

- magnetic moment (μB/f.u.) = 0.00
- density of states at the Fermi level (states/eV per cell) = 1.44
- calculated formation energy (kJ/mol of formula units) = 288.5

POSCAR file:
```
AlReGe2Au
1.0
-0.699 3.920 -2.615
-4.765 -1.790 -1.408
-1.931 2.173 3.773
Re Ge Au Al
1 2 1 1
Direct
0.000 0.000 0.000
0.000 0.000 0.500
0.500 0.000 0.000
0.000 0.500 0.000
0.500 0.500 0.500
```



Entry 5:
The following is a PBE-GGA calculation of AlGe2SbAu after structural relaxation, from the Alexandria database.

- magnetic moment (μB/f.u.) = 0.00
- density of states at the Fermi level (states/eV per cell) = 2.83
- energy (eV per atom) = -3.66

POSCAR file:
```
AlGe2SbAu
1.0
-0.865 4.868 -1.211
-2.197 0.737 4.532
4.278 1.227 1.875
Sb Ge Au Al
1 2 1 1
Direct
0.500 0.500 0.500
0.000 0.500 0.000
0.500 0.000 0.000
0.000 0.000 0.000
0.000 0.000 0.500
```



Entry 6:
The following is a PBE-GGA calculation of Sm2AlGeAu6 after structural relaxation, from the Alexandria database.

- magnetic moment (μB/f.u.) = 0.00
- density of states at the Fermi level (states/eV per cell) = 4.44
- calculated formation energy (kJ/mol of formula units) = -480.4

POSCAR file:
```
Sm2AlGeAu6
1.0
6.635 0.496 -1.332
0.348 6.490 -1.485
2.732 2.568 3.966
Sm Al Ge Au
2 1 1 6
Direct
0.245 0.771 0.505
0.755 0.229 0.495
0.500 0.500 0.000
0.000 0.000 0.000
0.096 0.587 0.144
0.671 0.826 0.995
0.299 0.253 0.491
0.904 0.413 0.856
0.329 0.174 0.005
0.701 0.747 0.509
```



What did the fifth record say?
The following is a PBE-GGA calculation of AlGe2SbAu after structural relaxation, from the Alexandria database.

- magnetic moment (μB/f.u.) = 0.00
- density of states at the Fermi level (states/eV per cell) = 2.83
- energy (eV per atom) = -3.66

POSCAR file:
```
AlGe2SbAu
1.0
-0.865 4.868 -1.211
-2.197 0.737 4.532
4.278 1.227 1.875
Sb Ge Au Al
1 2 1 1
Direct
0.500 0.500 0.500
0.000 0.500 0.000
0.500 0.000 0.000
0.000 0.000 0.000
0.000 0.000 0.500
```



- Number 5 is which compound?
  AlGe2SbAu



- Look up the magnetic moment of the first one.
  11.36 μB/f.u.